## Sr6P3N (PBE-GGA)

Data for a relaxed structure of Sr6P3N.

Geometry as CIF:
```
data_Sr6P3N
_symmetry_space_group_name_H-M 'R -3'
_symmetry_Int_Tables_number 148
_symmetry_space_group_name_Hall '-R 3'
_cell_length_a 12.5604
_cell_length_b 12.5604
_cell_length_c 14.0443
_cell_angle_alpha 90.00
_cell_angle_beta 90.00
_cell_angle_gamma 120.00
loop_
_atom_site_label
_atom_site_type_symbol
_atom_site_fract_x
_atom_site_fract_y
_atom_site_fract_z
Sr1 Sr 0.0287 0.8303 0.4017
Sr2 Sr 0.0300 0.8450 0.8914
P1 P 0.0470 0.7767 0.1940
N1 N 0.0000 0.0000 0.0000
N2 N 0.0000 0.0000 0.5000
```

Calculated values
* V: 31.980 Å³ per atom
* magnetic moment: 0.07 μB per formula unit
* formation energy without anion corrections: -9.2 eV/f.u.
* E: -263.4 eV for the cell shown
* ρ: 3.28 g/cm³